DFT (GGA-PBE) results for ErAgHgF6 after structural relaxation.

Output
- Uncorrected formation energy: -2.5072 eV/atom

Cell lengths 5.357, 5.357, 10.970 Å; angles 90.00, 90.00, 90.00 degrees
Sites, in units of the cell vectors:
Er1 0.000 0.000 0.000
Er2 0.500 0.500 0.500
Ag1 0.000 0.000 0.666
Ag2 0.500 0.500 0.166
Hg1 0.000 0.000 0.334
Hg2 0.500 0.500 0.834
F1 0.181 0.181 0.156
F2 0.197 0.197 0.856
F3 0.215 0.215 0.490
F4 0.285 0.715 0.990
F5 0.303 0.697 0.356
F6 0.319 0.681 0.656
F7 0.681 0.319 0.656
F8 0.697 0.303 0.356
F9 0.715 0.285 0.990
F10 0.785 0.785 0.490
F11 0.803 0.803 0.856
F12 0.819 0.819 0.156